(1)
Computed, not measured: KTa2Zn after structural relaxation at the PBEsol level of DFT.

Geometry as POSCAR:
```
KTa2Zn
1.0
-2.444 -1.362 2.823
-0.282 -3.470 -1.918
5.433 0.617 2.203
K Ta Zn
1 2 1
Cartesian
0.000 0.000 0.000 K
1.894 -2.634 0.369 Ta
0.813 -1.580 2.739 Ta
-1.363 -2.416 0.453 Zn
```

Values from the calculation:
Formation energy in meV per atom: 1357.5
Density in g/cm³: 9.46
Symmetry: I4/mmm
Total moment in μB per atom: 0.00


(2)
Computed, not measured: KTa2Zn after structural relaxation at the PBEsol level of DFT.

Geometry as POSCAR:
```
KTa2Zn
1.0
-2.807 2.554 1.148
0.928 -0.685 3.793
3.483 3.895 -0.149
K Ta Zn
1 2 1
Cartesian
1.741 1.948 -0.074 K
-1.403 1.277 0.574 Ta
0.464 -0.342 1.897 Ta
0.802 2.882 2.396 Zn
```

Values from the calculation:
Formation energy in meV per atom: 1367.1
Density in g/cm³: 9.43
Symmetry: P4/mmm
Total moment in μB per atom: 0.00


(3)
Computed, not measured: KTaZn after structural relaxation at the PBEsol level of DFT.

Geometry as POSCAR:
```
KTaZn
1.0
-2.615 2.815 -2.755
-1.137 -1.373 -4.379
-4.463 -1.178 -1.024
K Ta Zn
1 1 1
Cartesian
0.000 0.000 0.000 K
-4.108 0.132 -4.079 Ta
-6.162 0.198 -6.119 Zn
```

Values from the calculation:
Formation energy in meV per atom: 1820.3
Density in g/cm³: 6.34
Symmetry: F-43m
Total moment in μB per atom: 0.00


(4)
Computed, not measured: KTa2Zn after structural relaxation at the PBEsol level of DFT.

Geometry as POSCAR:
```
KTa2Zn
1.0
-0.101 1.808 -2.217
1.318 -2.725 -2.282
-7.961 -2.468 -1.649
Ta K Zn
2 1 1
Cartesian
-6.735 -2.088 -1.395 Ta
-1.226 -0.380 -0.254 Ta
-3.372 -1.693 -3.074 K
0.608 -0.459 -2.250 Zn
```

Values from the calculation:
Formation energy in meV per atom: 895.0
Density in g/cm³: 8.40
Symmetry: Pmmm
Total moment in μB per atom: 0.00


(5)
Computed, not measured: KZr2Ta after structural relaxation at the PBEsol level of DFT.

Geometry as POSCAR:
```
KZr2Ta
1.0
-4.690 -0.781 1.620
-3.033 -3.126 -2.501
-1.258 -4.426 2.013
Zr Ta K
2 1 1
Cartesian
0.000 0.000 0.000 Zr
-6.736 -6.249 0.849 Zr
-2.245 -2.083 0.283 Ta
-4.490 -4.166 0.566 K
```

Values from the calculation:
E above lowest polymorph in meV/atom: 569
Formation energy in meV per atom: 1250.8
Density in g/cm³: 7.46
Symmetry: F-43m
Total moment in μB per atom: 0.00


(6)
Computed, not measured: K2ZrTa after structural relaxation at the PBEsol level of DFT.

Geometry as POSCAR:
```
K2ZrTa
1.0
-2.012 2.060 -0.177
-1.858 -2.241 -4.960
-4.236 -3.850 3.327
Zr Ta K
1 1 2
Cartesian
-3.124 -0.895 1.575 Zr
-4.053 -2.016 -0.905 Ta
-1.387 -1.673 -3.701 K
-0.472 -0.569 -1.259 K
```

Values from the calculation:
E above lowest polymorph in meV/atom: 566
Formation energy in meV per atom: 1327.4
Density in g/cm³: 5.30
Symmetry: Pmmm
Total moment in μB per atom: 0.01


(7)
Computed, not measured: K2ZrTa after structural relaxation at the PBEsol level of DFT.

Geometry as POSCAR:
```
K2ZrTa
1.0
-1.680 1.058 -5.080
1.372 -3.351 -4.079
-3.791 -3.153 -2.331
K Ta Zr
2 1 1
Cartesian
-3.075 -4.085 -8.618 K
-1.025 -1.362 -2.873 K
0.000 0.000 0.000 Ta
-2.050 -2.723 -5.745 Zr
```

Values from the calculation:
E above lowest polymorph in meV/atom: 1405
Formation energy in meV per atom: 2166.8
Density in g/cm³: 5.07
Symmetry: Fm-3m
Total moment in μB per atom: 0.29


(8)
Computed, not measured: K2ZrTa after structural relaxation at the PBEsol level of DFT.

Geometry as POSCAR:
```
K2ZrTa
1.0
3.135 0.000 0.000
0.000 3.439 0.000
0.000 0.000 12.206
Ta Zr K
1 1 2
Cartesian
0.000 0.000 6.712 Ta
1.567 1.719 8.387 Zr
1.567 1.719 3.664 K
0.000 0.000 11.753 K
```

Values from the calculation:
E above lowest polymorph in meV/atom: 0
Formation energy in meV per atom: 761.4
Density in g/cm³: 4.42
Symmetry: Pmm2
Total moment in μB per atom: 0.00


(9)
Computed, not measured: K2ZrTa after structural relaxation at the PBEsol level of DFT.

Geometry as POSCAR:
```
K2ZrTa
1.0
-0.026 2.167 2.371
-4.264 0.716 -0.700
-0.325 -9.226 6.252
K Ta Zr
2 1 1
Cartesian
-0.752 -2.371 2.159 K
-3.862 -3.972 5.764 K
-0.013 1.083 1.186 Ta
-2.132 0.358 -0.350 Zr
```

Values from the calculation:
E above lowest polymorph in meV/atom: 55
Formation energy in meV per atom: 816.0
Density in g/cm³: 3.82
Symmetry: Immm
Total moment in μB per atom: 0.00


(10)
Computed, not measured: KZrTa after structural relaxation at the PBEsol level of DFT.

Geometry as POSCAR:
```
KZrTa
1.0
-3.242 -0.830 3.610
0.400 -4.038 2.788
1.401 0.385 4.704
K Ta Zr
1 1 1
Cartesian
0.000 0.000 0.000 K
-0.721 -2.242 5.551 Ta
-1.081 -3.362 8.326 Zr
```

Values from the calculation:
Formation energy in meV per atom: 2201.5
Density in g/cm³: 6.13
Symmetry: F-43m
Total moment in μB per atom: 0.60


(11)
Computed, not measured: K2ZrTa after structural relaxation at the PBEsol level of DFT.

Geometry as POSCAR:
```
K2ZrTa
1.0
-2.984 0.107 -0.618
0.891 -2.064 -4.658
-0.752 -6.133 2.573
K Ta Zr
2 1 1
Cartesian
-1.047 -0.978 -2.638 K
0.000 0.000 0.000 K
-1.868 -3.013 0.978 Ta
0.069 -4.098 -1.042 Zr
```

Values from the calculation:
E above lowest polymorph in meV/atom: 373
Formation energy in meV per atom: 1134.3
Density in g/cm³: 5.51
Symmetry: Pmmm
Total moment in μB per atom: 0.00


(12)
Computed, not measured: KZr2Ta after structural relaxation at the PBEsol level of DFT.

Geometry as POSCAR:
```
KZr2Ta
1.0
2.731 -0.001 -0.002
-0.953 6.101 0.022
-0.953 -2.767 5.437
K Zr Ta
1 2 1
Cartesian
1.366 -0.001 -0.001 K
-0.477 -1.384 2.719 Zr
-0.477 3.050 0.011 Zr
0.412 1.666 2.728 Ta
```

Values from the calculation:
E above lowest polymorph in meV/atom: 274
Formation energy in meV per atom: 955.8
Density in g/cm³: 7.37
Symmetry: C2/m
Total moment in μB per atom: 0.00


What is the formula in the eleventh record?
K2ZrTa


Among the records above, which one has the highest formation energy?
KZrTa


Look up the total moment of the seventh one.
0.29 μB per atom


What is the formation energy in the eleventh record?
1134.3 meV per atom